1.
# GGA-PBE Hf2ReSn2, relaxed
# Energy: -8.062 eV per atom
# Size of the total moment: 0.054 μB per atom
# Formation enthalpy at 0 K: 1 kJ per mole of atoms
data_Hf2ReSn2
_chemical_formula_sum 'Hf4 Re2 Sn4'
_symmetry_space_group_name_H-M 'P 4/m b m'
_symmetry_Int_Tables_number 127
_symmetry_space_group_name_Hall '-P 4 2ab'
_cell_length_a 7.037
_cell_length_b 7.037
_cell_length_c 4.158
_cell_angle_alpha 90.00
_cell_angle_beta 90.00
_cell_angle_gamma 90.00
loop_
_atom_site_label
_atom_site_type_symbol
_atom_site_fract_x
_atom_site_fract_y
_atom_site_fract_z
Hf1 Hf 0.166 0.334 0.000
Re1 Re 0.000 0.000 0.500
Sn1 Sn 0.141 0.641 0.500

---

2.
# GGA-PBE Hf3ReSn, relaxed
# Energy: -8.792 eV per atom
# E above lowest polymorph: 0 meV per atom
# Size of the total moment: 0.000 μB per atom
# Formation enthalpy at 0 K: 45 kJ per mole of atoms
data_Hf3ReSn
_chemical_formula_sum 'Hf3 Re1 Sn1'
_symmetry_space_group_name_H-M 'P m -3 m'
_symmetry_Int_Tables_number 221
_symmetry_space_group_name_Hall '-P 4 2 3'
_cell_length_a 5.033
_cell_length_b 5.033
_cell_length_c 5.033
_cell_angle_alpha 90.00
_cell_angle_beta 90.00
_cell_angle_gamma 90.00
loop_
_atom_site_label
_atom_site_type_symbol
_atom_site_fract_x
_atom_site_fract_y
_atom_site_fract_z
Hf1 Hf 0.000 0.000 0.500
Re1 Re 0.000 0.000 0.000
Sn1 Sn 0.500 0.500 0.500

---

3.
# GGA-PBE HfRe3Sn, relaxed
# Energy: -8.039 eV per atom
# E above lowest polymorph: 0 meV per atom
# Size of the total moment: 0.346 μB per atom
# Formation enthalpy at 0 K: 214 kJ per mole of atoms
data_HfRe3Sn
_chemical_formula_sum 'Hf1 Re3 Sn1'
_symmetry_space_group_name_H-M 'P m -3 m'
_symmetry_Int_Tables_number 221
_symmetry_space_group_name_Hall '-P 4 2 3'
_cell_length_a 4.786
_cell_length_b 4.786
_cell_length_c 4.786
_cell_angle_alpha 90.00
_cell_angle_beta 90.00
_cell_angle_gamma 90.00
loop_
_atom_site_label
_atom_site_type_symbol
_atom_site_fract_x
_atom_site_fract_y
_atom_site_fract_z
Hf1 Hf 0.000 0.000 0.000
Re1 Re 0.000 0.500 0.500
Sn1 Sn 0.500 0.500 0.500

---

4.
# GGA-PBE Hf6ReSn2, relaxed
# Energy: -9.016 eV per atom
# Size of the total moment: 0.000 μB per atom
# Formation enthalpy at 0 K: -10 kJ per mole of atoms
data_Hf6ReSn2
_chemical_formula_sum 'Hf12 Re2 Sn4'
_symmetry_space_group_name_H-M 'P 1 21/c 1'
_symmetry_Int_Tables_number 14
_cell_length_a 5.599
_cell_length_b 7.613
_cell_length_c 10.685
_cell_angle_alpha 90.00
_cell_angle_beta 119.30
_cell_angle_gamma 90.00
loop_
_symmetry_equiv_pos_as_xyz
'x,y,z'
'-x,-y,-z'
'-x,y+1/2,-z+1/2'
'x,-y+1/2,z+1/2'
loop_
_atom_site_label
_atom_site_type_symbol
_atom_site_fract_x
_atom_site_fract_y
_atom_site_fract_z
Hf1 Hf 0.089 0.163 0.467
Hf2 Hf 0.360 0.705 0.459
Hf3 Hf 0.408 0.046 0.264
Re1 Re 0.000 0.000 0.000
Sn1 Sn 0.132 0.103 0.764